# YZr2Co PBE relaxed
# N(E_F) ... 10.61 states/eV per cell
# Total energy ... -0.5605 Ry per atom
# Calculated density ... 5.9 g/cm3
# Crystal system ... trigonal
data_YZr2Co
_chemical_formula_sum 'Y3 Zr6 Co3'
_space_group_name_H-M_alt 'R 3 m'
_space_group_IT_number 160
_space_group_name_Hall 'R 3 -2"'
_cell_length_a 4.0829
_cell_length_b 4.0829
_cell_length_c 19.3729
_cell_angle_alpha 90.00
_cell_angle_beta 90.00
_cell_angle_gamma 120.00
loop_
_atom_site_label
_atom_site_fract_x
_atom_site_fract_y
_atom_site_fract_z
Y1 0.0000 0.0000 0.0000
Zr1 0.0000 0.0000 0.2160
Zr2 0.0000 0.0000 0.4446
Co1 0.0000 0.0000 0.8251



# AcReNi PBE relaxed
# N(E_F) ... 13.71 states/eV per cell
# Total energy ... -0.5359 Ry per atom
# Calculated density ... 12.0 g/cm3
# Crystal system ... tetragonal
data_AcReNi
_chemical_formula_sum 'Ac4 Re4 Ni4'
_space_group_name_H-M_alt 'I 4/m m m'
_space_group_IT_number 139
_space_group_name_Hall '-I 4 2'
_cell_length_a 3.834
_cell_length_b 3.834
_cell_length_c 17.764
_cell_angle_alpha 90.00
_cell_angle_beta 90.00
_cell_angle_gamma 90.00
loop_
_atom_site_label
_atom_site_fract_x
_atom_site_fract_y
_atom_site_fract_z
Ac1 0.000 0.000 0.165
Re1 0.000 0.500 0.000
Ni1 0.000 0.000 0.402



# Li2ZrCr PBE relaxed
# N(E_F) ... 9.81 states/eV per cell
# Total energy ... -0.3764 Ry per atom
# Calculated density ... 3.4 g/cm3
# Crystal system ... trigonal
data_Li2ZrCr
_chemical_formula_sum 'Li6 Zr3 Cr3'
_space_group_name_H-M_alt 'R 3 m'
_space_group_IT_number 160
_space_group_name_Hall 'R 3 -2"'
_cell_length_a 3.0239
_cell_length_b 3.0239
_cell_length_c 29.3099
_cell_angle_alpha 90.00
_cell_angle_beta 90.00
_cell_angle_gamma 120.00
loop_
_atom_site_label
_atom_site_fract_x
_atom_site_fract_y
_atom_site_fract_z
Li1 0.0000 0.0000 0.0000
Li2 0.0000 0.0000 0.2475
Zr1 0.0000 0.0000 0.7581
Cr1 0.0000 0.0000 0.5032



# Er4Zn3 PBE relaxed
# N(E_F) ... 27.59 states/eV per cell
# Total energy ... -0.2381 Ry per atom
# Calculated density ... 8.0 g/cm3
# Crystal system ... trigonal
data_Er4Zn3
_chemical_formula_sum 'Er12 Zn9'
_space_group_name_H-M_alt 'R -3 m'
_space_group_IT_number 166
_space_group_name_Hall '-R 3 2"'
_cell_length_a 4.9039
_cell_length_b 4.9039
_cell_length_c 25.7661
_cell_angle_alpha 90.00
_cell_angle_beta 90.00
_cell_angle_gamma 120.00
loop_
_atom_site_label
_atom_site_fract_x
_atom_site_fract_y
_atom_site_fract_z
Er1 0.0000 0.0000 0.1244
Er2 0.0000 0.0000 0.2923
Zn1 0.0000 0.0000 0.4058
Zn2 0.0000 0.0000 0.5000



# SnH2W PBE relaxed
# N(E_F) ... 9.87 states/eV per cell
# Total energy ... -0.3398 Ry per atom
# Calculated density ... 10.8 g/cm3
# Crystal system ... cubic
data_SnH2W
_chemical_formula_sum 'Sn4 H8 W4'
_space_group_name_H-M_alt 'F m -3 m'
_space_group_IT_number 225
_space_group_name_Hall '-F 4 2 3'
_cell_length_a 5.719
_cell_length_b 5.719
_cell_length_c 5.719
_cell_angle_alpha 90.00
_cell_angle_beta 90.00
_cell_angle_gamma 90.00
loop_
_atom_site_label
_atom_site_fract_x
_atom_site_fract_y
_atom_site_fract_z
Sn1 0.000 0.000 0.000
H1 0.250 0.250 0.250
W1 0.000 0.000 0.500



# VFeNiOs PBE relaxed
# N(E_F) ... 28.89 states/eV per cell
# Total energy ... -0.6330 Ry per atom
# Calculated density ... 11.6 g/cm3
# Crystal system ... cubic
data_VFeNiOs
_chemical_formula_sum 'V4 Fe4 Ni4 Os4'
_space_group_name_H-M_alt 'F -4 3 m'
_space_group_IT_number 216
_space_group_name_Hall 'F -4 2 3'
_cell_length_a 5.877
_cell_length_b 5.877
_cell_length_c 5.877
_cell_angle_alpha 90.00
_cell_angle_beta 90.00
_cell_angle_gamma 90.00
loop_
_atom_site_label
_atom_site_fract_x
_atom_site_fract_y
_atom_site_fract_z
V1 0.000 0.000 0.000
Fe1 0.250 0.250 0.250
Ni1 0.000 0.000 0.500
Os1 0.250 0.250 0.750



# Dy3AgPt2 PBE relaxed
# N(E_F) ... 4.05 states/eV per cell
# Total energy ... -0.4207 Ry per atom
# Calculated density ... 12.3 g/cm3
# Crystal system ... tetragonal
data_Dy3AgPt2
_chemical_formula_sum 'Dy3 Ag1 Pt2'
_space_group_name_H-M_alt 'P 4/m m m'
_space_group_IT_number 123
_space_group_name_Hall '-P 4 2'
_cell_length_a 3.549
_cell_length_b 3.549
_cell_length_c 10.568
_cell_angle_alpha 90.00
_cell_angle_beta 90.00
_cell_angle_gamma 90.00
loop_
_atom_site_label
_atom_site_fract_x
_atom_site_fract_y
_atom_site_fract_z
Dy1 0.000 0.000 0.000
Dy2 0.000 0.000 0.320
Ag1 0.500 0.500 0.500
Pt1 0.500 0.500 0.164



# KNb2AgPd PBE relaxed
# N(E_F) ... 6.79 states/eV per cell
# Total energy ... -0.3170 Ry per atom
# Calculated density ... 5.3 g/cm3
# Crystal system ... tetragonal
data_KNb2AgPd
_chemical_formula_sum 'K1 Nb2 Ag1 Pd1'
_space_group_name_H-M_alt 'P 4/m m m'
_space_group_IT_number 123
_space_group_name_Hall '-P 4 2'
_cell_length_a 5.126
_cell_length_b 5.126
_cell_length_c 5.227
_cell_angle_alpha 90.00
_cell_angle_beta 90.00
_cell_angle_gamma 90.00
loop_
_atom_site_label
_atom_site_fract_x
_atom_site_fract_y
_atom_site_fract_z
K1 0.000 0.000 0.000
Nb1 0.000 0.500 0.500
Ag1 0.500 0.500 0.500
Pd1 0.500 0.500 0.000



# TmPu2ZrP4 PBE relaxed
# N(E_F) ... 21.53 states/eV per cell
# Total energy ... -0.6796 Ry per atom
# Calculated density ... 8.6 g/cm3
# Crystal system ... monoclinic
data_TmPu2ZrP4
_chemical_formula_sum 'Tm1 Pu2 Zr1 P4'
_space_group_name_H-M_alt 'P 1 2/m 1'
_space_group_IT_number 10
_cell_length_a 6.752
_cell_length_b 3.914
_cell_length_c 6.778
_cell_angle_alpha 90.00
_cell_angle_beta 109.55
_cell_angle_gamma 90.00
loop_
_space_group_symop_operation_xyz
'x,y,z'
'-x,-y,-z'
'-x,y,-z'
'x,-y,z'
loop_
_atom_site_label
_atom_site_fract_x
_atom_site_fract_y
_atom_site_fract_z
Tm1 0.000 0.000 0.000
Pu1 0.500 0.000 0.500
Pu2 0.500 0.500 0.000
Zr1 0.000 0.500 0.500
P1 0.241 0.000 0.742
P2 0.244 0.500 0.256



# Ho11Tl9Au4 PBE relaxed
# N(E_F) ... 30.41 states/eV per cell
# Total energy ... -0.2971 Ry per atom
# Calculated density ... 11.9 g/cm3
# Crystal system ... orthorhombic
data_Ho11Tl9Au4
_chemical_formula_sum 'Ho22 Tl18 Au8'
_space_group_name_H-M_alt 'C m m m'
_space_group_IT_number 65
_space_group_name_Hall '-C 2 2'
_cell_length_a 14.837
_cell_length_b 22.330
_cell_length_c 3.742
_cell_angle_alpha 90.00
_cell_angle_beta 90.00
_cell_angle_gamma 90.00
loop_
_atom_site_label
_atom_site_fract_x
_atom_site_fract_y
_atom_site_fract_z
Ho1 0.000 0.000 0.000
Ho2 0.000 0.162 0.000
Ho3 0.000 0.368 0.000
Ho4 0.199 0.500 0.000
Ho5 0.245 0.170 0.000
Tl1 0.000 0.500 0.500
Tl2 0.110 0.257 0.500
Tl3 0.136 0.075 0.500
Au1 0.150 0.401 0.500



# Ho2Be3Si4Ni PBE relaxed
# N(E_F) ... 2.80 states/eV per cell
# Total energy ... -0.3890 Ry per atom
# Calculated density ... 6.1 g/cm3
# Crystal system ... tetragonal
# Formation energy (no corrections) ... -0.512 eV/atom
data_Ho2Be3Si4Ni
_chemical_formula_sum 'Ho2 Be3 Si4 Ni1'
_space_group_name_H-M_alt 'P -4 m 2'
_space_group_IT_number 115
_cell_length_a 3.869
_cell_length_b 3.869
_cell_length_c 9.584
_cell_angle_alpha 90.00
_cell_angle_beta 90.00
_cell_angle_gamma 90.00
loop_
_space_group_symop_operation_xyz
'x,y,z'
'y,-x,-z'
'-x,-y,z'
'-y,x,-z'
'-x,y,z'
'-y,-x,-z'
'x,-y,z'
'y,x,-z'
loop_
_atom_site_label
_atom_site_fract_x
_atom_site_fract_y
_atom_site_fract_z
Ho1 0.000 0.500 0.249
Be1 0.000 0.000 0.000
Be2 0.000 0.500 0.634
Si1 0.000 0.000 0.500
Si2 0.000 0.500 0.869
Si3 0.500 0.500 0.500
Ni1 0.500 0.500 0.000



# Dy5HoIr6 PBE relaxed
# N(E_F) ... 3.55 states/eV per cell
# Total energy ... -0.5551 Ry per atom
# Calculated density ... 14.7 g/cm3
# Crystal system ... monoclinic
data_Dy5HoIr6
_chemical_formula_sum 'Dy5 Ho1 Ir6'
_space_group_name_H-M_alt 'P 1 2/m 1'
_space_group_IT_number 10
_cell_length_a 4.730
_cell_length_b 7.155
_cell_length_c 7.484
_cell_angle_alpha 90.00
_cell_angle_beta 108.35
_cell_angle_gamma 90.00
loop_
_space_group_symop_operation_xyz
'x,y,z'
'-x,-y,-z'
'-x,y,-z'
'x,-y,z'
loop_
_atom_site_label
_atom_site_fract_x
_atom_site_fract_y
_atom_site_fract_z
Dy1 0.000 0.000 0.000
Dy2 0.333 0.000 0.667
Dy3 0.333 0.500 0.667
Ho1 0.000 0.500 0.000
Ir1 0.166 0.250 0.333
Ir2 0.500 0.251 0.000



# Mn2ZnHg PBE relaxed
# N(E_F) ... 2.90 states/eV per cell
# Total energy ... -0.3446 Ry per atom
# Calculated density ... 9.3 g/cm3
# Crystal system ... monoclinic
data_Mn2ZnHg
_chemical_formula_sum 'Mn2 Zn1 Hg1'
_space_group_name_H-M_alt 'P 1 m 1'
_space_group_IT_number 6
_cell_length_a 2.948
_cell_length_b 4.168
_cell_length_c 5.606
_cell_angle_alpha 90.00
_cell_angle_beta 103.98
_cell_angle_gamma 90.00
loop_
_space_group_symop_operation_xyz
'x,y,z'
'x,-y,z'
loop_
_atom_site_label
_atom_site_fract_x
_atom_site_fract_y
_atom_site_fract_z
Mn1 0.000 0.000 0.000
Mn2 0.360 0.500 0.720
Zn1 0.587 0.500 0.181
Hg1 0.751 0.000 0.491



# K2BaI2 PBE relaxed
# N(E_F) ... 0.18 states/eV per cell
# Total energy ... -0.1791 Ry per atom
# Calculated density ... 3.2 g/cm3
# Crystal system ... tetragonal
# Formation energy (no corrections) ... -0.993 eV/atom
data_K2BaI2
_chemical_formula_sum 'K4 Ba2 I4'
_space_group_name_H-M_alt 'P 4/m b m'
_space_group_IT_number 127
_space_group_name_Hall '-P 4 2ab'
_cell_length_a 9.574
_cell_length_b 9.574
_cell_length_c 5.265
_cell_angle_alpha 90.00
_cell_angle_beta 90.00
_cell_angle_gamma 90.00
loop_
_atom_site_label
_atom_site_fract_x
_atom_site_fract_y
_atom_site_fract_z
K1 0.157 0.343 0.000
Ba1 0.000 0.000 0.500
I1 0.156 0.656 0.500



# FeTc2Os PBE relaxed
# N(E_F) ... 4.60 states/eV per cell
# Total energy ... -0.7369 Ry per atom
# Calculated density ... 13.4 g/cm3
# Crystal system ... tetragonal
data_FeTc2Os
_chemical_formula_sum 'Fe1 Tc2 Os1'
_space_group_name_H-M_alt 'P 4/m m m'
_space_group_IT_number 123
_space_group_name_Hall '-P 4 2'
_cell_length_a 3.787
_cell_length_b 3.787
_cell_length_c 3.825
_cell_angle_alpha 90.00
_cell_angle_beta 90.00
_cell_angle_gamma 90.00
loop_
_atom_site_label
_atom_site_fract_x
_atom_site_fract_y
_atom_site_fract_z
Fe1 0.000 0.000 0.000
Tc1 0.000 0.500 0.500
Os1 0.500 0.500 0.000



# PrPaTl PBE relaxed
# N(E_F) ... 34.35 states/eV per cell
# Total energy ... -0.3913 Ry per atom
# Calculated density ... 10.5 g/cm3
# Crystal system ... orthorhombic
data_PrPaTl
_chemical_formula_sum 'Pr8 Pa8 Tl8'
_space_group_name_H-M_alt 'F m m m'
_space_group_IT_number 69
_space_group_name_Hall '-F 2 2'
_cell_length_a 6.234
_cell_length_b 8.511
_cell_length_c 13.799
_cell_angle_alpha 90.00
_cell_angle_beta 90.00
_cell_angle_gamma 90.00
loop_
_atom_site_label
_atom_site_fract_x
_atom_site_fract_y
_atom_site_fract_z
Pr1 0.250 0.250 0.250
Pa1 0.000 0.151 0.000
Tl1 0.000 0.000 0.393